1.
Tb2FeSi3Pt4 | PBE | optimized geometry

Computed properties:
As for the crystal system: tetragonal.

Lattice parameters (Å, degrees): 4.175 4.175 10.043 90.00 90.00 90.00
Fractional coordinates of all 10 atoms:
Tb  0.000  0.500  0.244
Tb  0.500  0.000  0.756
Fe  0.500  0.500  0.000
Si  0.000  0.000  0.000
Si  0.000  0.500  0.634
Si  0.500  0.000  0.366
Pt  0.000  0.000  0.500
Pt  0.000  0.500  0.868
Pt  0.500  0.000  0.132
Pt  0.500  0.500  0.500



2.
U2FeSi4Pt3 | PBE | optimized geometry

Computed properties:
As for the crystal system: tetragonal.

Lattice parameters (Å, degrees): 4.164 4.164 9.744 90.00 90.00 90.00
Fractional coordinates of all 10 atoms:
U  0.000  0.500  0.241
U  0.500  0.000  0.759
Fe  0.500  0.500  0.000
Si  0.000  0.000  0.500
Si  0.000  0.500  0.871
Si  0.500  0.000  0.129
Si  0.500  0.500  0.500
Pt  0.000  0.000  0.000
Pt  0.000  0.500  0.625
Pt  0.500  0.000  0.375



no.,formation energy without anion corrections (kJ/mol of formula units),magnetization (μB/cell)
1,-952,2.77
2,-681,2.40